DFT (PBE-GGA) results for a relaxed Rb2HfCuO4 crystal.

Its total magnetization is 1.01 μB/f.u. Its total energy is -398.57 eV for the cell shown. The value obtained for the uncorrected formation energy is -1351 kJ/mol of formula units.

a b c (Å): 5.285 12.591 21.548
angles (deg): 90.00 90.00 90.00
Space group Fddd (No. 70, origin choice 2)
One atom of each set of equivalent atoms:
Rb (0.125, 0.125, 0.306) x16
Hf (0.125, 0.125, 0.125) x8
Cu (0.125, 0.125, 0.625) x8
O (0.117, 0.283, 0.418) x32

***

DFT (PBE-GGA) results for a relaxed NaScHgPt crystal.

Its total magnetization is 0.00 μB/f.u. Its total energy is -62.98 eV for the cell shown. The formation energy comes out at -438 meV per atom.

a b c (Å): 6.799 6.799 6.799
angles (deg): 90.00 90.00 90.00
Space group F-43m (No. 216)
One atom of each set of equivalent atoms:
Na (0.000, 0.000, 0.000) x4
Sc (0.000, 0.000, 0.500) x4
Hg (0.250, 0.250, 0.750) x4
Pt (0.250, 0.250, 0.250) x4

***

DFT (PBE-GGA) results for a relaxed InPS2 crystal.

Its total magnetization is 0.00 μB/f.u. Its total energy is -48.38 eV for the cell shown. The energy above the lowest structure with this stoichiometry is 0.068 eV per atom. The value obtained for the uncorrected formation energy is 27 kJ/mol of formula units.

a b c (Å): 3.7293 3.7293 23.1372
angles (deg): 90.00 90.00 120.00
Space group R-3m (No. 166, hexagonal axes)
One atom of each set of equivalent atoms:
In (0.0000, 0.0000, 0.0000) x3
P (0.0000, 0.0000, 0.5000) x3
S (0.0000, 0.0000, 0.3994) x6

***

DFT (PBE-GGA) results for a relaxed Rb2P2Se crystal.

Its total magnetization is 0.46 μB/f.u. Its total energy is -35.21 eV for the cell shown. The value obtained for the uncorrected formation energy is -132 kJ/mol of formula units.

a b c (Å): 8.380 8.380 4.794
angles (deg): 90.00 90.00 90.00
Space group P4/mbm (No. 127)
One atom of each set of equivalent atoms:
Rb (0.212, 0.288, 0.000) x4
P (0.083, 0.583, 0.500) x4
Se (0.000, 0.000, 0.500) x2

***

DFT (PBE-GGA) results for a relaxed AcCeMg2 crystal.

Its total magnetization is 1.06 μB/f.u. Its total energy is -52.49 eV for the cell shown. The formation energy comes out at 27 meV per atom.

a b c (Å): 7.979 7.979 7.979
angles (deg): 90.00 90.00 90.00
Space group Fm-3m (No. 225)
One atom of each set of equivalent atoms:
Ac (0.000, 0.000, 0.000) x4
Ce (0.000, 0.000, 0.500) x4
Mg (0.250, 0.250, 0.250) x8

***

DFT (PBE-GGA) results for a relaxed La4Pr3SmS8 crystal.

Its total magnetization is 0.00 μB/f.u. Its total energy is -316.04 eV for the cell shown. The value obtained for the uncorrected formation energy is -3238 kJ/mol of formula units.

a b c (Å): 8.2462 8.2462 20.1483
angles (deg): 90.00 90.00 120.00
Space group R-3m (No. 166, hexagonal axes)
One atom of each set of equivalent atoms:
La (0.0000, 0.0000, 0.0000) x3
La (0.0000, 0.5000, 0.0000) x9
Pr (0.0000, 0.5000, 0.5000) x9
Sm (0.0000, 0.0000, 0.5000) x3
S (0.0000, 0.0000, 0.2495) x6
S (0.0043, 0.5021, 0.2484) x18

***

DFT (PBE-GGA) results for a relaxed Rb2WBrCl6 crystal.

Its total magnetization is 1.00 μB/f.u. Its total energy is -155.41 eV for the cell shown. The value obtained for the uncorrected formation energy is -1082 kJ/mol of formula units.

a b c (Å): 11.360 11.360 11.360
angles (deg): 90.00 90.00 90.00
Space group Fm-3m (No. 225)
One atom of each set of equivalent atoms:
Rb (0.250, 0.250, 0.250) x8
W (0.000, 0.000, 0.000) x4
Br (0.000, 0.000, 0.500) x4
Cl (0.000, 0.000, 0.208) x24

***

DFT (PBE-GGA) results for a relaxed RbGe4Au4 crystal.

Its total magnetization is 0.00 μB/f.u. Its total energy is -66.70 eV for the cell shown. The energy above the lowest structure with this stoichiometry is 0.005 eV per atom. The formation energy comes out at -89 meV per atom.

a b c (Å): 6.739 6.739 8.954
angles (deg): 90.00 90.00 90.00
Space group P4_2/nmc (No. 137, origin choice 2)
One atom of each set of equivalent atoms:
Rb (0.250, 0.750, 0.250) x2
Ge (0.008, 0.250, 0.118) x8
Au (0.042, 0.250, 0.416) x8

***

DFT (PBE-GGA) results for a relaxed Ac4NdSe6 crystal.

Its total magnetization is 0.00 μB/f.u. Its total energy is -373.51 eV for the cell shown. The value obtained for the uncorrected formation energy is -1943 kJ/mol of formula units.

a b c (Å): 12.3902 12.3902 15.0046
angles (deg): 90.00 90.00 120.00
Space group R-3c (No. 167, hexagonal axes)
One atom of each set of equivalent atoms:
Ac (0.0000, 0.0000, 0.2500) x6
Ac (0.0000, 0.3822, 0.2500) x18
Nd (0.0000, 0.0000, 0.0000) x6
Se (0.0286, 0.2036, 0.3865) x36

***

DFT (PBE-GGA) results for a relaxed KSnSb2Te crystal.

Its total magnetization is 0.00 μB/f.u. Its total energy is -11.28 eV for the cell shown. The energy above the lowest structure with this stoichiometry is 0.850 eV per atom. The value obtained for the uncorrected formation energy is 502 kJ/mol of formula units.

a b c (Å): 5.780 5.780 5.926
angles (deg): 90.00 90.00 90.00
Space group P4/mmm (No. 123)
One atom of each set of equivalent atoms:
K (0.000, 0.000, 0.000) x1
Sn (0.500, 0.500, 0.500) x1
Sb (0.000, 0.500, 0.000) x2
Te (0.000, 0.000, 0.500) x1

***

DFT (PBE-GGA) results for a relaxed Li6PrAu2 crystal.

Its total magnetization is 0.00 μB/f.u. Its total energy is -25.87 eV for the cell shown. The energy above the lowest structure with this stoichiometry is 0.000 eV per atom. The formation energy comes out at -340 meV per atom.

a b c (Å): 4.052 4.052 11.178
angles (deg): 90.00 90.00 90.00
Space group P4/mmm (No. 123)
One atom of each set of equivalent atoms:
Li (0.000, 0.000, 0.000) x1
Li (0.000, 0.500, 0.214) x4
Li (0.500, 0.500, 0.000) x1
Pr (0.000, 0.000, 0.500) x1
Au (0.500, 0.500, 0.370) x2

***

DFT (PBE-GGA) results for a relaxed UTl2F8 crystal.

Its total magnetization is 0.65 μB/f.u. Its total energy is -121.36 eV for the cell shown. The value obtained for the uncorrected formation energy is -2865 kJ/mol of formula units.

a b c (Å): 17.485 4.060 5.689
angles (deg): 90.00 106.90 90.00
Space group C2/m (No. 12)
One atom of each set of equivalent atoms:
U (0.000, 0.000, 0.000) x2
Tl (0.190, 0.500, 0.682) x4
F (0.013, 0.500, 0.809) x4
F (0.079, 0.000, 0.348) x4
F (0.107, 0.000, 0.921) x4
F (0.224, 0.500, 0.275) x4